Density functional theory data (PBE) for a geometry-optimized Pt2SBr structure.

The structure in POSCAR format:
```
Pt2SBr
1.0
0.0000 3.2409 3.2409
3.2409 0.0000 3.2409
3.2409 3.2409 0.0000
Pt S Br
2 1 1
direct
0.2500 0.2500 0.2500 Pt
0.7500 0.7500 0.7500 Pt
0.0000 0.0000 0.0000 S
0.5000 0.5000 0.5000 Br
```

- M_tot: 0.00 μB per formula unit
- Density of states at the Fermi level: 5.44 states/eV/cell
- Energy above the most stable polymorph in this dataset: 560.4 meV per atom
- Calculated density: 12.2 g/cm3

=====

Density functional theory data (PBE) for a geometry-optimized PtSBr structure.

The structure in POSCAR format:
```
PtSBr
1.0
3.5723 0.0000 0.0000
0.0000 3.6057 0.0000
-1.7490 0.0000 10.7867
Pt S Br
2 2 2
direct
0.1913 0.2500 0.3801 Pt
0.8087 0.7500 0.6199 Pt
0.2977 0.2500 0.5974 S
0.7023 0.7500 0.4026 S
0.0802 0.2500 0.1528 Br
0.9198 0.7500 0.8472 Br
```

- Uncorrected energy: -4.09 eV per atom
- M_tot: 0.00 μB per formula unit
- Density of states at the Fermi level: 5.65 states/eV/cell
- Calculated density: 7.3 g/cm3

=====

Density functional theory data (PBE) for a geometry-optimized PtS2Br structure.

The structure in POSCAR format:
```
PtS2Br
1.0
1.4240 0.8221 12.4718
-1.4240 0.8221 12.4718
0.0000 -1.6443 12.4718
Pt S Br
1 2 1
direct
0.0000 0.0000 0.0000 Pt
0.0612 0.0612 0.0612 S
0.9388 0.9388 0.9388 S
0.5000 0.5000 0.5000 Br
```

- M_tot: 0.00 μB per formula unit
- Density of states at the Fermi level: 2.26 states/eV/cell
- Energy above the most stable polymorph in this dataset: 456.3 meV per atom
- Calculated density: 6.4 g/cm3

=====

Density functional theory data (PBE) for a geometry-optimized PtSBr structure.

The structure in POSCAR format:
```
PtSBr
1.0
6.0968 -1.8036 0.0000
6.0968 1.8036 0.0000
-2.0297 0.0000 6.9029
Pt S Br
2 2 2
direct
0.0000 0.0000 0.0000 Pt
0.5000 0.5000 0.5000 Pt
0.0627 0.0627 0.7078 S
0.9373 0.9373 0.2922 S
0.3504 0.3504 0.8691 Br
0.6496 0.6496 0.1309 Br
```

- Uncorrected energy: -4.15 eV per atom
- M_tot: 0.00 μB per formula unit
- Density of states at the Fermi level: 3.74 states/eV/cell
- Calculated density: 6.7 g/cm3